# VH12SO11 (PBE+U, relaxed)
# crystal system: triclinic
# total magnetization: 1.000 μB per formula unit
# uncorrected energy: -5.4755 eV/atom
data_VH12SO11
_chemical_formula_sum 'V2 H24 S2 O22'
_cell_length_a 6.1254
_cell_length_b 7.7268
_cell_length_c 10.3774
_cell_angle_alpha 89.45
_cell_angle_beta 80.33
_cell_angle_gamma 82.27
_symmetry_space_group_name_H-M 'P -1'
_symmetry_Int_Tables_number 2
_symmetry_space_group_name_Hall '-P 1'
loop_
_atom_site_label
_atom_site_type_symbol
_atom_site_fract_x
_atom_site_fract_y
_atom_site_fract_z
V1 V 0.0630 0.2375 0.2203
H1 H 0.0184 0.4508 0.6583
H2 H 0.1233 0.0613 0.7896
H3 H 0.1373 0.8990 0.1339
H4 H 0.1859 0.2029 0.4702
H5 H 0.2088 0.0078 0.4125
H6 H 0.2101 0.6851 0.0071
H7 H 0.2561 0.5130 0.2971
H8 H 0.2943 0.7464 0.5834
H9 H 0.3512 0.6118 0.6994
H10 H 0.3861 0.6667 0.1112
H11 H 0.4768 0.0623 0.1922
H12 H 0.4924 0.2036 0.0739
S1 S 0.4406 0.2618 0.6670
O1 O 0.0040 0.6773 0.9161
O2 O 0.0248 0.9835 0.1917
O3 O 0.1140 0.4603 0.3096
O4 O 0.1403 0.1306 0.4035
O5 O 0.2524 0.3246 0.5971
O6 O 0.2598 0.7223 0.6793
O7 O 0.3190 0.7436 0.0473
O8 O 0.3575 0.8069 0.4282
O9 O 0.3772 0.1238 0.7618
O10 O 0.3977 0.1685 0.1564
O11 O 0.4932 0.4145 0.7416